Record 1
Cu2MoOs | PBE-GGA | relaxed

```
4
Lattice="-1.6049 1.9222 -0.7356 -0.3598 -1.1801 -2.2999 -6.2383 -4.0414 3.0495" Properties=species:S:1:pos:R:3 pbc="T T T"
Cu -6.1974 -4.0149 3.0296
Cu -3.1600 -2.0472 1.5448
Mo -2.5419 -0.6393 -0.7554
Os -5.6610 -2.6600 0.7694
```

- DFT total energy: -7.20 eV per atom
- Space group: No. 123

---

Record 2
CuMoOs2 | PBE-GGA | relaxed

```
4
Lattice="-0.7217 -2.2487 -1.4308 2.8080 0.6748 -2.4768 3.3791 -3.0016 3.0131" Properties=species:S:1:pos:R:3 pbc="T T T"
Cu 1.8879 -1.5373 -1.2006
Mo 3.5775 -3.0382 0.3060
Os 0.0479 -0.0426 0.0427
Os 1.6416 -1.4583 1.4638
```

- DFT total energy: -9.12 eV per atom
- Space group: No. 47

---

Record 3
Cu2MoOs | PBE-GGA | relaxed

```
4
Lattice="8.8320 0.0082 0.0048 8.4098 2.6979 0.0048 8.4098 1.3199 2.3529" Properties=species:S:1:pos:R:3 pbc="T T T"
Cu 0.0590 0.0093 0.0054
Cu 19.1477 3.0052 1.7635
Mo 12.8483 2.0165 1.1834
Os 6.4224 1.0080 0.5915
```

- DFT total energy: -7.38 eV per atom
- Space group: No. 160

---

Record 4
CuMoOs2 | PBE-GGA | relaxed

```
4
Lattice="2.6627 0.0037 0.0000 -1.1588 2.3973 0.0000 0.0000 0.0000 9.1699" Properties=species:S:1:pos:R:3 pbc="T T T"
Cu 0.0000 0.0000 4.5749
Mo 0.7519 1.2005 6.8657
Os 0.0000 0.0000 9.1670
Os 0.7519 1.2005 2.3172
```

- DFT total energy: -8.84 eV per atom
- Space group: No. 35

---

Record 5
Cu2MoOs | PBE-GGA | relaxed

```
8
Lattice="-1.3531 -2.3777 -6.2831 6.4687 1.2684 -1.8731 3.2242 -2.8707 -3.3451" Properties=species:S:1:pos:R:3 pbc="T T T"
Mo 2.5578 -0.5546 -4.0781
Mo 6.1254 -1.0785 -4.6481
Os 0.0000 0.0000 0.0000
Os 2.2145 -2.9015 -6.8531
Cu 0.7616 -2.0582 -5.0316
Cu 4.6873 -0.2092 -2.7581
Cu 4.3013 -2.5759 -5.5572
Cu 6.9296 -3.1168 -9.6557
```

- DFT total energy: -6.63 eV per atom
- Space group: No. 122

---

Record 6
Cu2MoOs | PBE-GGA | relaxed

```
4
Lattice="4.7907 -0.0042 0.0000 -2.1200 4.2961 0.0000 0.0000 0.0000 2.6639" Properties=species:S:1:pos:R:3 pbc="T T T"
Cu 0.0000 0.0000 0.0000
Cu 1.3353 2.1460 0.0000
Mo 2.3954 -0.0021 1.3320
Os -1.0600 2.1480 1.3320
```

- DFT total energy: -7.20 eV per atom
- Space group: No. 65

---

Record 7
Cu4MoOs | PBE-GGA | relaxed

```
6
Lattice="0.0000 3.3562 3.3562 3.3562 0.0000 3.3562 3.3562 3.3562 0.0000" Properties=species:S:1:pos:R:3 pbc="T T T"
Cu 2.5153 2.5153 4.1972
Cu 2.5153 4.1972 2.5153
Cu 4.1972 4.1972 4.1972
Cu 4.1972 2.5153 2.5153
Mo 1.6781 1.6781 1.6781
Os 0.0000 0.0000 0.0000
```

- DFT total energy: -6.22 eV per atom
- Space group: No. 216

---

Record 8
Cu2MoOs | PBE-GGA | relaxed

```
4
Lattice="-4.2095 -1.6046 1.3945 -3.4678 -3.1188 -0.6974 1.3845 -3.3252 2.8978" Properties=species:S:1:pos:R:3 pbc="T T T"
Cu -7.6552 -4.7185 0.7013
Cu -3.1685 -4.0293 1.7933
Mo -4.7196 -6.0365 2.6962
Os -1.5732 -2.0122 0.8987
```

- DFT total energy: -7.27 eV per atom
- Space group: No. 12

---

Record 9
CuMoOs2 | PBE-GGA | relaxed

```
4
Lattice="-1.8289 2.4930 -0.5544 -1.6999 -0.6794 2.5527 3.5004 3.2805 3.2041" Properties=species:S:1:pos:R:3 pbc="T T T"
Cu -0.8893 1.7269 1.8001
Mo 0.8609 3.3672 3.4022
Os 0.0512 0.0479 0.0468
Os 1.6990 1.5923 1.5552
```

- DFT total energy: -9.07 eV per atom
- Space group: No. 123

---

Record 10
Cu2MoOs | PBE-GGA | relaxed

```
4
Lattice="4.6223 -0.0166 0.0252 3.8441 2.5669 0.0252 0.7030 0.2118 4.6142" Properties=species:S:1:pos:R:3 pbc="T T T"
Cu 0.6899 0.2078 4.5153
Cu 6.8607 2.0666 3.6055
Mo 4.5626 1.3744 2.2545
Os 2.3439 0.7060 1.2357
```

- DFT total energy: -7.29 eV per atom
- Space group: No. 8

---

Record 11
Cu2MoOs | PBE-GGA | relaxed

```
4
Lattice="-2.4577 -0.5138 0.8213 1.6737 0.1652 2.0372 -1.5651 8.4473 0.6008" Properties=species:S:1:pos:R:3 pbc="T T T"
Cu -0.0132 0.0711 0.0051
Cu -0.7678 1.8539 1.5735
Mo -0.7788 4.2034 0.2990
Os -1.5719 6.1940 1.8822
```

- DFT total energy: -7.26 eV per atom
- Space group: No. 35

---

Record 12
Cu2MoOs | PBE-GGA | relaxed

```
4
Lattice="4.0697 0.0000 0.0000 0.0000 2.6197 0.0453 0.0000 2.6278 5.1771" Properties=species:S:1:pos:R:3 pbc="T T T"
Cu 0.0000 2.6295 5.1634
Cu 0.0000 2.6220 2.6250
Mo 2.0349 1.3119 1.3056
Os 2.0349 3.9356 3.9168
```

- DFT total energy: -7.24 eV per atom
- Space group: No. 10

---

Record 13
Cu2MoOs | PBE-GGA | relaxed

```
4
Lattice="-1.0832 3.9006 -1.3879 0.6210 1.0616 -4.0989 -3.3518 0.4860 -2.6159" Properties=species:S:1:pos:R:3 pbc="T T T"
Cu 0.0000 0.0000 0.0000
Cu -0.9535 1.3620 -2.0257
Mo -1.9070 2.7241 -4.0513
Os -2.8605 4.0861 -6.0770
```

- DFT total energy: -7.25 eV per atom
- Space group: No. 216

---

Record 14
Cu2MoOs | PBE-GGA | relaxed

```
4
Lattice="-1.0477 -3.0351 0.2507 0.6306 0.0432 3.1580 -4.8528 1.7533 0.9450" Properties=species:S:1:pos:R:3 pbc="T T T"
Cu -4.8366 1.7474 0.9419
Cu -2.4427 0.8825 0.4757
Mo -1.4218 -1.0576 1.9406
Os -3.8482 -0.1810 2.4131
```

- DFT total energy: -7.10 eV per atom
- Space group: No. 123

---

Record 15
CuMoOs2 | PBE-GGA | relaxed

```
4
Lattice="2.7386 0.0000 0.0000 0.0000 2.7386 0.0000 0.0000 0.0000 7.6409" Properties=species:S:1:pos:R:3 pbc="T T T"
Cu 0.0000 0.0000 3.7757
Mo 1.3693 1.3693 5.6424
Os 0.0000 0.0000 0.1399
Os 1.3693 1.3693 1.9032
```

- DFT total energy: -9.14 eV per atom
- Space group: No. 99

---

Record 16
CuMoOs2 | PBE-GGA | relaxed

```
4
Lattice="-1.1296 2.1702 -1.0777 -1.3389 -1.0800 2.0465 4.5679 5.2332 5.7503" Properties=species:S:1:pos:R:3 pbc="T T T"
Cu -0.0923 1.8534 1.9219
Mo 2.1917 4.4700 4.7971
Os 0.0101 0.0115 0.0127
Os 2.2739 2.6050 2.8624
```

- DFT total energy: -8.95 eV per atom
- Space group: No. 65

---

Record 17
CuMoOs2 | PBE-GGA | relaxed

```
4
Lattice="4.6710 0.0043 0.0000 1.4336 4.4456 0.0000 -3.0523 -2.2249 2.7480" Properties=species:S:1:pos:R:3 pbc="T T T"
Cu 0.7168 2.2228 1.3740
Mo 2.3355 0.0021 1.3740
Os 0.0000 0.0000 0.0000
Os 3.0523 2.2249 0.0000
```

- DFT total energy: -9.12 eV per atom
- Space group: No. 139

---

Record 18
CuMoOs2 | PBE-GGA | relaxed

```
4
Lattice="9.0121 0.0071 0.0042 8.5947 2.7111 0.0042 8.5947 1.3269 2.3642" Properties=species:S:1:pos:R:3 pbc="T T T"
Cu 6.5504 1.0113 0.5931
Mo 19.6511 3.0338 1.7794
Os 26.1876 4.0429 2.3713
Os 13.1147 2.0247 1.1875
```

- DFT total energy: -9.16 eV per atom
- Space group: No. 166

---

Record 19
CuMoOs2 | PBE-GGA | relaxed

```
4
Lattice="4.7919 -0.1916 -0.3755 2.0680 4.3269 0.3755 -3.2370 -2.3877 2.6382" Properties=species:S:1:pos:R:3 pbc="T T T"
Cu 3.4298 2.0675 0.0000
Mo 1.1302 2.0032 1.5069
Os 0.0002 0.0001 0.0000
Os 2.4926 -0.2557 1.1314
```

- DFT total energy: -9.07 eV per atom
- Space group: No. 119

---

Record 20
CuMoOs2 | PBE-GGA | relaxed

```
4
Lattice="-1.1510 1.1118 -2.2848 -3.9870 -2.0573 1.0074 -1.2585 3.6096 2.3904" Properties=species:S:1:pos:R:3 pbc="T T T"
Cu -1.2047 2.3607 0.0528
Mo -2.6228 0.7762 1.6989
Os 0.0000 0.0000 0.0000
Os -2.5690 -0.4727 -0.6387
```

- DFT total energy: -8.88 eV per atom
- Space group: No. 47

---

Record 21
CuMo3Os | PBE-GGA | relaxed

```
5
Lattice="-0.7262 -0.6665 -4.6219 4.0815 -2.3633 -0.3005 -2.2689 -4.0379 0.9387" Properties=species:S:1:pos:R:3 pbc="T T T"
Mo 2.0407 -1.1816 -0.1502
Mo -1.1345 -2.0189 0.4694
Mo -0.3631 -0.3332 -2.3110
Os 0.0000 0.0000 0.0000
Cu 0.5432 -3.5338 -1.9918
```

- DFT total energy: -7.78 eV per atom
- Space group: No. 221

---

Record 22
CuMoOs2 | PBE-GGA | relaxed

```
4
Lattice="-1.6485 -4.2655 -0.8263 4.5897 -0.3523 0.6371 -0.4079 -0.3717 2.7324" Properties=species:S:1:pos:R:3 pbc="T T T"
Cu -1.0282 -2.3186 0.9531
Mo 2.0909 -0.3620 1.6848
Os 0.0000 0.0000 0.0000
Os 1.4706 -2.3089 -0.0946
```

- DFT total energy: -8.99 eV per atom
- Space group: No. 65

---

Record 23
CuMo2Os2 | PBE-GGA | relaxed

```
10
Lattice="7.4745 0.0000 0.0000 0.0000 7.4745 0.0000 0.0000 0.0000 2.8551" Properties=species:S:1:pos:R:3 pbc="T T T"
Mo 1.2100 4.9473 1.4276
Mo 4.9473 6.2645 1.4276
Mo 6.2645 2.5272 1.4276
Mo 2.5272 1.2100 1.4276
Os 2.7323 6.4696 0.0000
Os 6.4696 4.7422 0.0000
Os 4.7422 1.0049 0.0000
Os 1.0049 2.7323 0.0000
Cu 0.0000 0.0000 0.0000
Cu 3.7373 3.7373 0.0000
```

- DFT total energy: -9.34 eV per atom
- Space group: No. 127

---

Record 24
CuMoOs2 | PBE-GGA | relaxed

```
4
Lattice="-2.0104 3.8390 -0.1795 -3.2073 0.6372 -2.8494 -4.0922 0.3720 1.3884" Properties=species:S:1:pos:R:3 pbc="T T T"
Cu -4.6550 2.4241 -0.8202
Mo -6.9824 3.6362 -1.2303
Os 0.0000 0.0000 0.0000
Os -2.3275 1.2121 -0.4101
```

- DFT total energy: -8.89 eV per atom
- Space group: No. 216

---

Record 25
CuMoOs2 | PBE-GGA | relaxed

```
4
Lattice="-0.0078 4.3487 0.7153 0.2722 -0.4314 2.6255 4.9066 0.0192 -0.0632" Properties=species:S:1:pos:R:3 pbc="T T T"
Cu 1.2908 2.0713 0.9982
Mo 3.8802 1.8652 2.2794
Os 0.0992 -0.0113 0.0695
Os 2.4902 -0.1948 1.2116
```

- DFT total energy: -9.02 eV per atom
- Space group: No. 10

---

Record 26
Cu2MoOs | PBE-GGA | relaxed

```
4
Lattice="4.6255 -0.0084 0.0000 1.5236 4.3674 0.0000 -3.0745 -2.1795 2.6818" Properties=species:S:1:pos:R:3 pbc="T T T"
Cu 0.0000 0.0000 0.0000
Cu 0.7618 2.1837 1.3409
Mo 3.0745 2.1795 0.0000
Os 2.3127 -0.0042 1.3409
```

- DFT total energy: -7.36 eV per atom
- Space group: No. 119

---

Record 27
CuMoOs2 | PBE-GGA | relaxed

```
4
Lattice="-2.3736 -3.4794 1.0032 -0.6090 -3.1246 -2.9347 1.9118 -3.8512 0.5098" Properties=species:S:1:pos:R:3 pbc="T T T"
Cu 0.0000 0.0000 0.0000
Mo -0.5354 -5.2276 -0.7109
Os -0.2677 -2.6138 -0.3554
Os -0.8031 -7.8414 -1.0663
```

- DFT total energy: -9.05 eV per atom
- Space group: No. 225

---

Record 28
Cu2MoOs | PBE-GGA | relaxed

```
4
Lattice="-5.5307 2.1677 -6.8410 -7.3058 2.2876 -4.8455 -5.7799 4.4100 -5.4066" Properties=species:S:1:pos:R:3 pbc="T T T"
Cu -18.5948 8.8550 -17.0733
Cu -9.3298 4.4429 -8.5664
Mo -13.9623 6.6490 -12.8199
Os -4.6541 2.2163 -4.2733
```

- DFT total energy: -7.23 eV per atom
- Space group: No. 166

---

Record 29
CuMoOs2 | PBE-GGA | relaxed

```
4
Lattice="-0.6141 0.6359 3.8062 -2.4074 -1.2531 -0.1791 -0.0563 -5.9119 0.9786" Properties=species:S:1:pos:R:3 pbc="T T T"
Cu -1.2400 -3.5658 0.3956
Mo -2.1619 -5.0071 2.4934
Os -2.3971 -1.2860 -0.1720
Os -0.9179 -1.5060 2.1092
```

- DFT total energy: -9.14 eV per atom
- Space group: No. 6

---

Record 30
CuMoOs2 | PBE-GGA | relaxed

```
4
Lattice="4.6503 0.0009 0.0078 3.8485 2.6104 0.0078 0.7511 0.2308 4.7184" Properties=species:S:1:pos:R:3 pbc="T T T"
Cu 6.9374 2.1316 3.5505
Mo 2.3125 0.7105 1.1835
Os 9.2202 2.8330 4.6818
Os 4.6546 1.4302 2.4192
```

- DFT total energy: -9.13 eV per atom
- Space group: No. 12

---

Quick rundown of E_form, same order as above: 0.368; 0.228; 0.179; 0.502; 0.929; 0.362; 0.188; 0.293; 0.278; 0.269; 0.303; 0.325; 0.312; 0.463; 0.204; 0.400; 0.228; 0.184; 0.281; 0.465; 1.782; 0.354; 0.305; 0.460; 0.324; 0.202; 0.293; 0.334; 0.202; 0.217 eV/atom
Quick rundown of total magnetic moment, same order as above: 0.000; 0.000; 0.000; 0.000; 0.000; 0.000; 0.000; 0.000; 0.000; 0.000; 0.000; 0.000; 0.000; 0.000; 0.000; 0.000; 0.000; 0.000; 0.000; 0.000; 0.000; 0.000; 0.000; 0.000; 0.000; 0.000; 0.000; 0.000; 0.000; 0.000 μB/atom